[1]
## La2Ga6Ru (PBE)

Data for La2Ga6Ru after structural relaxation.

abc: 9.0023 9.0023 9.0023
angles: 90.00 90.00 90.00
Space group Fm-3m (No. 225)
Unique sites:
La: 0.2500 0.2500 0.2500 [8 per cell]
Ga: 0.0000 0.0000 0.2169 [24 per cell]
Ru: 0.0000 0.0000 0.5000 [4 per cell]

Computed properties:
The value obtained for the energy relative to the lowest polymorph listed for this composition is 0.00 eV per formula unit. The calculated formation energy is -0.608 eV/atom.

[2]
## MgMn2Ni2 (PBE)

Data for MgMn2Ni2 after structural relaxation.

abc: 3.2626 3.2626 12.0792
angles: 90.00 90.00 90.00
Space group I4/mmm (No. 139)
Unique sites:
Mg: 0.0000 0.0000 0.0000 [2 per cell]
Mn: 0.0000 0.5000 0.2500 [4 per cell]
Ni: 0.0000 0.0000 0.3994 [4 per cell]

Computed properties:
The calculated formation energy is 0.268 eV/atom.